PuFe3Cl9: optimized geometry, GGA-PBE.

Output
Total magnetization ... 34.5 Bohr magnetons per cell
Formation energy (no corrections) ... -1.02 eV per atom
Calculated total energy ... -5.350 eV per atom
Space-group type ... Cc (9)

Lattice parameters (Å, degrees): 8.952 10.169 11.043 75.29 66.09 63.89
Last column: magnetic moment on the atom in μB.
Fractional coordinates of all 26 atoms:
Pu (0.475, 0.995, 0.507)  5.19
Pu (0.023, 0.495, 0.007)  5.19
Cl (0.398, 0.813, 0.411)  0.05
Cl (0.594, 0.767, 0.687)  0.05
Cl (0.952, 0.267, 0.187)  0.05
Cl (0.787, 0.009, 0.733)  0.15
Cl (0.472, 0.509, 0.233)  0.15
Cl (0.814, 0.069, 0.034)  0.14
Cl (0.145, 0.708, 0.843)  0.05
Cl (0.035, 0.578, 0.220)  0.06
Cl (0.474, 0.247, 0.563)  0.07
Cl (0.866, 0.435, 0.869)  0.05
Cl (0.256, 0.890, 0.093)  0.14
Cl (0.167, 0.078, 0.720)  0.06
Cl (0.083, 0.569, 0.534)  0.14
Cl (0.830, 0.935, 0.369)  0.05
Cl (0.378, 0.313, 0.911)  0.05
Cl (0.304, 0.208, 0.343)  0.05
Cl (0.760, 0.390, 0.593)  0.14
Cl (0.716, 0.747, 0.063)  0.07
Fe (0.222, 0.456, 0.341)  3.45
Fe (0.447, 0.748, 0.209)  3.44
Fe (0.824, 0.542, 0.669)  3.44
Fe (0.981, 0.956, 0.841)  3.45
Fe (0.965, 0.042, 0.169)  3.44
Fe (0.596, 0.248, 0.709)  3.44